Entry from OQMD: a relaxed structure of CsSrCu (PBE).

## Properties
relative energy among the computed polymorphs = 0.0 kJ/mol of atoms
space-group type = F-43m, No. 216

abc: 5.708 5.708 5.708
angles: 60.00 60.00 60.00
Fractional positions:
Cs (0.250, 0.250, 0.250)
Cu (0.000, 0.000, 0.000)
Sr (0.750, 0.750, 0.750)


Entry from OQMD: a relaxed structure of CsSr3Cu (PBE).

## Properties
uncorrected energy = -16.40 eV per cell
space-group type = Cmcm, No. 63

abc: 12.781 12.781 4.761
angles: 90.00 90.00 120.20
Fractional positions:
Cs (0.667, 0.333, 0.250)
Cs (0.333, 0.667, 0.750)
Cu (0.000, 0.000, 0.000)
Cu (0.000, 0.000, 0.500)
Sr (0.864, 0.136, 0.250)
Sr (0.272, 0.136, 0.250)
Sr (0.864, 0.728, 0.250)
Sr (0.136, 0.272, 0.750)
Sr (0.728, 0.864, 0.750)
Sr (0.136, 0.864, 0.750)


Entry from OQMD: a relaxed structure of CsTaCu2Te4 (PBE).

## Properties
uncorrected energy = -146.17 eV per cell
space-group type = Pna2_1, No. 33
M_tot = 0.0 Bohr magnetons per cell

abc: 8.309 6.047 20.824
angles: 90.00 90.00 90.00
Fractional positions:
Cs (0.796, 0.014, 0.062)
Cs (0.296, 0.014, 0.438)
Cs (0.704, 0.514, 0.562)
Cs (0.204, 0.514, 0.938)
Cu (0.294, 0.759, 0.146)
Cu (0.037, 0.268, 0.247)
Cu (0.537, 0.268, 0.253)
Cu (0.794, 0.759, 0.354)
Cu (0.206, 0.259, 0.646)
Cu (0.463, 0.768, 0.747)
Cu (0.963, 0.768, 0.753)
Cu (0.706, 0.259, 0.854)
Ta (0.295, 0.259, 0.147)
Ta (0.795, 0.259, 0.353)
Ta (0.205, 0.759, 0.647)
Ta (0.705, 0.759, 0.853)
Te (0.310, 0.010, 0.044)
Te (0.035, 0.511, 0.142)
Te (0.553, 0.512, 0.150)
Te (0.787, 0.001, 0.249)
Te (0.287, 0.001, 0.251)
Te (0.053, 0.512, 0.350)
Te (0.535, 0.511, 0.358)
Te (0.810, 0.010, 0.456)
Te (0.190, 0.510, 0.544)
Te (0.465, 0.011, 0.642)
Te (0.947, 0.012, 0.650)
Te (0.713, 0.501, 0.749)
Te (0.213, 0.501, 0.751)
Te (0.447, 0.012, 0.850)
Te (0.965, 0.011, 0.858)
Te (0.690, 0.510, 0.956)


Entry from OQMD: a relaxed structure of Cs2Tb4Cu4Te9 (PBE).

## Properties
uncorrected energy = -81.82 eV per cell
space-group type = C2/m, No. 12
M_tot = 0.0 Bohr magnetons per cell

abc: 8.128 8.128 17.841
angles: 107.48 107.48 31.50
Fractional positions:
Cs (0.467, 0.467, 0.226)
Cs (0.533, 0.533, 0.774)
Cu (0.748, 0.748, 0.235)
Cu (0.077, 0.077, 0.474)
Cu (0.923, 0.923, 0.526)
Cu (0.252, 0.252, 0.765)
Tb (0.153, 0.153, 0.056)
Tb (0.272, 0.272, 0.400)
Tb (0.728, 0.728, 0.600)
Tb (0.847, 0.847, 0.944)
Te (0.500, 0.500, 0.000)
Te (0.795, 0.795, 0.101)
Te (0.156, 0.156, 0.227)
Te (0.897, 0.897, 0.373)
Te (0.636, 0.636, 0.422)
Te (0.364, 0.364, 0.578)
Te (0.103, 0.103, 0.627)
Te (0.844, 0.844, 0.773)
Te (0.205, 0.205, 0.899)


Entry from OQMD: a relaxed structure of CsTb2Cu3Te5 (PBE).

## Properties
uncorrected energy = -92.49 eV per cell
space-group type = Cmcm, No. 63
M_tot = 0.0 Bohr magnetons per cell

abc: 8.082 8.082 18.438
angles: 90.00 90.00 148.49
Fractional positions:
Cs (0.443, 0.557, 0.250)
Cs (0.557, 0.443, 0.750)
Cu (0.915, 0.085, 0.025)
Cu (0.157, 0.843, 0.250)
Cu (0.915, 0.085, 0.475)
Cu (0.085, 0.915, 0.525)
Cu (0.843, 0.157, 0.750)
Cu (0.085, 0.915, 0.975)
Tb (0.692, 0.308, 0.090)
Tb (0.692, 0.308, 0.410)
Tb (0.308, 0.692, 0.590)
Tb (0.308, 0.692, 0.910)
Te (0.337, 0.663, 0.073)
Te (0.057, 0.943, 0.116)
Te (0.743, 0.257, 0.250)
Te (0.057, 0.943, 0.384)
Te (0.337, 0.663, 0.427)
Te (0.663, 0.337, 0.573)
Te (0.943, 0.057, 0.616)
Te (0.257, 0.743, 0.750)
Te (0.943, 0.057, 0.884)
Te (0.663, 0.337, 0.927)


Entry from OQMD: a relaxed structure of CsCuTcTe3 (PBE).

## Properties
relative energy among the computed polymorphs = 0.0 kJ/mol of atoms
space-group type = Cmcm, No. 63
M_tot = 4.5 Bohr magnetons per cell

abc: 8.903 8.903 10.568
angles: 90.00 90.00 154.11
Fractional positions:
Cs (0.252, 0.748, 0.250)
Cs (0.748, 0.252, 0.750)
Cu (0.965, 0.035, 0.250)
Cu (0.035, 0.965, 0.750)
Tc (0.500, 0.500, 0.000)
Tc (0.500, 0.500, 0.500)
Te (0.892, 0.108, 0.039)
Te (0.560, 0.440, 0.250)
Te (0.892, 0.108, 0.461)
Te (0.108, 0.892, 0.539)
Te (0.440, 0.560, 0.750)
Te (0.108, 0.892, 0.961)


Entry from OQMD: a relaxed structure of CsCuTcTe3 (PBE).

## Properties
relative energy among the computed polymorphs = 2.2 kJ/mol of atoms
space-group type = Pnma, No. 62
M_tot = 10.1 Bohr magnetons per cell

abc: 4.039 12.691 14.796
angles: 90.00 90.00 90.00
Fractional positions:
Cs (0.750, 0.984, 0.161)
Cs (0.250, 0.484, 0.339)
Cs (0.750, 0.516, 0.661)
Cs (0.250, 0.016, 0.839)
Cu (0.250, 0.743, 0.215)
Cu (0.750, 0.243, 0.285)
Cu (0.250, 0.757, 0.715)
Cu (0.750, 0.257, 0.785)
Tc (0.250, 0.368, 0.034)
Tc (0.750, 0.868, 0.466)
Tc (0.250, 0.132, 0.534)
Tc (0.750, 0.632, 0.966)
Te (0.250, 0.753, 0.044)
Te (0.750, 0.492, 0.107)
Te (0.250, 0.240, 0.182)
Te (0.750, 0.740, 0.318)
Te (0.250, 0.992, 0.393)
Te (0.750, 0.253, 0.456)
Te (0.250, 0.747, 0.544)
Te (0.750, 0.008, 0.607)
Te (0.250, 0.260, 0.682)
Te (0.750, 0.760, 0.818)
Te (0.250, 0.508, 0.893)
Te (0.750, 0.247, 0.956)


Entry from OQMD: a relaxed structure of CsCuTe (PBE).

## Properties
uncorrected energy = -19.16 eV per cell
space-group type = C2/m, No. 12

abc: 7.666 7.666 6.893
angles: 103.34 103.34 33.47
Fractional positions:
Cs (0.098, 0.098, 0.303)
Cs (0.902, 0.902, 0.697)
Cu (0.784, 0.784, 0.079)
Cu (0.216, 0.216, 0.921)
Te (0.369, 0.369, 0.217)
Te (0.631, 0.631, 0.783)


Number 1: density 3.59 g cm⁻³. Number 2: density 2.27 g cm⁻³. Number 3: density 6.04 g cm⁻³. Number 4: density 6.54 g cm⁻³. Number 5: density 6.75 g cm⁻³. Number 6: density 6.15 g cm⁻³. Number 7: density 5.93 g cm⁻³. Number 8: density 4.96 g cm⁻³.